Below is a relaxed structure of Tc3AuO, with properties calculated at the PBE level.

POSCAR file:
```
Tc3AuO
1.0
4.097 0.000 0.000
0.000 4.097 0.000
0.000 0.000 4.097
O Au Tc
1 1 3
Direct
0.000 0.000 0.000
0.500 0.500 0.500
0.500 0.000 0.000
0.000 0.500 0.000
0.000 0.000 0.500
```

Output
formation energy (no corrections) = 123 meV per atom
E above lowest polymorph = 0.0 meV/atom
electronic total energy = -38.72 eV for the cell shown
symmetry = Pm-3m